# 1
Density functional theory data (PBE) for crystalline K2Cd9Au3 at its relaxed geometry.

The structure in extended XYZ format:
```
28
Lattice="7.440 -4.269 0.000 7.440 4.269 0.000 -5.058 0.000 10.784" Properties=species:S:1:pos:R:3 pbc="T T T"
K 1.242 0.709 2.676
K -1.287 -0.709 8.068
K 11.109 0.709 2.716
K 8.580 -0.709 8.109
Cd 6.188 3.516 0.735
Cd 6.163 3.516 4.657
Cd 1.232 0.696 6.083
Cd 4.638 1.566 2.736
Cd 1.166 0.704 10.210
Cd 3.761 -0.696 0.691
Cd 3.647 1.079 8.088
Cd 7.713 1.566 2.656
Cd 3.695 -0.704 4.818
Cd 6.127 0.704 5.966
Cd 2.109 -1.566 8.129
Cd 6.176 -1.079 2.696
Cd 6.061 0.696 10.093
Cd 8.656 -0.704 0.574
Cd 5.184 -1.566 8.048
Cd 8.590 -0.696 4.701
Cd 3.659 -3.516 6.127
Cd 3.634 -3.516 10.049
Au 3.720 2.135 0.000
Au 3.620 2.240 5.391
Au 8.732 2.240 0.001
Au 1.191 -2.135 5.392
Au 1.091 -2.240 10.784
Au 6.203 -2.240 5.393
```

Summary:
DFT total energy: -1.62 eV per atom
energy of formation: -0.1749 eV per atom
magnetic moment: 0.0000 μB per atom

---

# 2
Density functional theory data (PBE) for crystalline KI3N at its relaxed geometry.

The structure in extended XYZ format:
```
5
Lattice="5.254 0.000 0.000 0.000 5.254 0.000 0.000 0.000 5.254" Properties=species:S:1:pos:R:3 pbc="T T T"
K 0.000 0.000 0.000
I 0.000 2.627 2.627
I 2.627 0.000 2.627
I 2.627 2.627 0.000
N 2.627 2.627 2.627
```

Summary:
DFT total energy: -2.57 eV per atom
ΔE_f (raw): 0.249 eV/atom
magnetic moment: 0.0000 μB per atom

---

# 3
Density functional theory data (PBE) for crystalline La2DyBi2 at its relaxed geometry.

The structure in extended XYZ format:
```
10
Lattice="-4.436 6.236 3.281 4.436 -6.236 3.281 4.436 6.236 -3.281" Properties=species:S:1:pos:R:3 pbc="T T T"
La 1.281 1.858 0.000
La 5.717 4.378 0.000
La -1.281 1.858 3.281
La 3.155 4.378 3.281
Dy 4.436 0.000 1.641
Dy 0.000 6.236 1.641
Bi 6.869 1.354 0.000
Bi 2.433 4.882 0.000
Bi 2.003 1.354 3.281
Bi -2.433 4.882 3.281
```

Summary:
DFT total energy: -5.13 eV per atom
energy of formation: -0.6863 eV per atom
magnetic moment: 0.0004 μB per atom